Entry 1:
The following is a DFT calculation (PBEsol) of a relaxed TlCdCu2 crystal.

Values from the calculation:
Formation enthalpy at 0 K   0.20 eV/atom
Density   11.09 g cm⁻³

Geometry as CIF:
```
data_TlCdCu2
_cell_length_a 3.2882
_cell_length_b 3.2882
_cell_length_c 6.1472
_cell_angle_alpha 90.00
_cell_angle_beta 90.00
_cell_angle_gamma 90.00
_symmetry_space_group_name_H-M 'P 4/m m m'
_symmetry_Int_Tables_number 123
_symmetry_space_group_name_Hall '-P 4 2'
loop_
_atom_site_label
_atom_site_type_symbol
_atom_site_fract_x
_atom_site_fract_y
_atom_site_fract_z
Tl1 Tl 0.0000 0.0000 0.0000
Cd1 Cd 0.0000 0.0000 0.5000
Cu1 Cu 0.5000 0.5000 0.2724
```

Entry 2:
The following is a DFT calculation (PBEsol) of a relaxed TlCdCu2 crystal.

Values from the calculation:
Formation enthalpy at 0 K   0.26 eV/atom
Density   11.07 g cm⁻³

Geometry as CIF:
```
data_TlCdCu2
_cell_length_a 3.9802
_cell_length_b 3.9802
_cell_length_c 8.4076
_cell_angle_alpha 90.00
_cell_angle_beta 90.00
_cell_angle_gamma 90.00
_symmetry_space_group_name_H-M 'I -4 m 2'
_symmetry_Int_Tables_number 119
_symmetry_space_group_name_Hall 'I -4 -2'
loop_
_atom_site_label
_atom_site_type_symbol
_atom_site_fract_x
_atom_site_fract_y
_atom_site_fract_z
Tl1 Tl 0.0000 0.0000 0.0000
Cd1 Cd 0.0000 0.5000 0.2500
Cu1 Cu 0.0000 0.0000 0.5000
Cu2 Cu 0.0000 0.5000 0.7500
```

Entry 3:
The following is a DFT calculation (PBEsol) of a relaxed Cd2CuW crystal.

Values from the calculation:
Formation enthalpy at 0 K   0.31 eV/atom
Density   11.94 g cm⁻³

Geometry as CIF:
```
data_Cd2CuW
_cell_length_a 2.7668
_cell_length_b 2.7668
_cell_length_c 8.5752
_cell_angle_alpha 90.00
_cell_angle_beta 90.00
_cell_angle_gamma 90.00
_symmetry_space_group_name_H-M 'P 4 m m'
_symmetry_Int_Tables_number 99
loop_
_symmetry_equiv_pos_as_xyz
'x,y,z'
'-y,x,z'
'-x,-y,z'
'y,-x,z'
'-x,y,z'
'y,x,z'
'x,-y,z'
'-y,-x,z'
loop_
_atom_site_label
_atom_site_type_symbol
_atom_site_fract_x
_atom_site_fract_y
_atom_site_fract_z
Cd1 Cd 0.0000 0.0000 0.0000
Cd2 Cd 0.5000 0.5000 0.2920
Cu1 Cu 0.0000 0.0000 0.5243
W1 W 0.5000 0.5000 0.7376
```

Entry 4:
The following is a DFT calculation (PBEsol) of a relaxed CdCuW2 crystal.

Values from the calculation:
Formation enthalpy at 0 K   0.29 eV/atom
Density   14.52 g cm⁻³

Geometry as CIF:
```
data_CdCuW2
_cell_length_a 3.2067
_cell_length_b 4.3612
_cell_length_c 8.8939
_cell_angle_alpha 90.00
_cell_angle_beta 90.00
_cell_angle_gamma 90.00
_symmetry_space_group_name_H-M 'C m m 2'
_symmetry_Int_Tables_number 35
loop_
_symmetry_equiv_pos_as_xyz
'x,y,z'
'-x,-y,z'
'-x,y,z'
'x,-y,z'
'x+1/2,y+1/2,z'
'-x+1/2,-y+1/2,z'
'-x+1/2,y+1/2,z'
'x+1/2,-y+1/2,z'
loop_
_atom_site_label
_atom_site_type_symbol
_atom_site_fract_x
_atom_site_fract_y
_atom_site_fract_z
Cd1 Cd 0.0000 0.0000 0.0000
Cu1 Cu 0.0000 0.5000 0.2451
W1 W 0.0000 0.0000 0.4739
W2 W 0.0000 0.5000 0.7223
```

Entry 5:
The following is a DFT calculation (PBEsol) of a relaxed Cd2CuW crystal.

Values from the calculation:
Formation enthalpy at 0 K   0.50 eV/atom
Density   11.84 g cm⁻³

Geometry as CIF:
```
data_Cd2CuW
_cell_length_a 5.7188
_cell_length_b 8.6361
_cell_length_c 2.6825
_cell_angle_alpha 90.00
_cell_angle_beta 90.00
_cell_angle_gamma 90.00
_symmetry_space_group_name_H-M 'C m m m'
_symmetry_Int_Tables_number 65
_symmetry_space_group_name_Hall '-C 2 2'
loop_
_atom_site_label
_atom_site_type_symbol
_atom_site_fract_x
_atom_site_fract_y
_atom_site_fract_z
Cd1 Cd 0.2500 0.2500 0.0000
Cu1 Cu 0.0000 0.0000 0.5000
W1 W 0.0000 0.5000 0.5000
```

Entry 6:
The following is a DFT calculation (PBEsol) of a relaxed Cd2CuW crystal.

Values from the calculation:
Formation enthalpy at 0 K   0.77 eV/atom
Density   11.89 g cm⁻³

Geometry as CIF:
```
data_Cd2CuW
_cell_length_a 4.0744
_cell_length_b 4.0744
_cell_length_c 7.9473
_cell_angle_alpha 90.00
_cell_angle_beta 90.00
_cell_angle_gamma 90.00
_symmetry_space_group_name_H-M 'I -4 m 2'
_symmetry_Int_Tables_number 119
_symmetry_space_group_name_Hall 'I -4 -2'
loop_
_atom_site_label
_atom_site_type_symbol
_atom_site_fract_x
_atom_site_fract_y
_atom_site_fract_z
Cd1 Cd 0.0000 0.0000 0.0000
Cd2 Cd 0.0000 0.5000 0.2500
Cu1 Cu 0.0000 0.0000 0.5000
W1 W 0.0000 0.5000 0.7500
```

Entry 7:
The following is a DFT calculation (PBEsol) of a relaxed Cd2CuW crystal.

Values from the calculation:
Formation enthalpy at 0 K   0.64 eV/atom
Density   11.91 g cm⁻³

Geometry as CIF:
```
data_Cd2CuW
_cell_length_a 2.9815
_cell_length_b 4.6624
_cell_length_c 4.7354
_cell_angle_alpha 90.00
_cell_angle_beta 90.00
_cell_angle_gamma 90.00
_symmetry_space_group_name_H-M 'P m m m'
_symmetry_Int_Tables_number 47
loop_
_symmetry_equiv_pos_as_xyz
'x,y,z'
'-x,-y,-z'
'-x,-y,z'
'x,y,-z'
'x,-y,-z'
'-x,y,z'
'-x,y,-z'
'x,-y,z'
loop_
_atom_site_label
_atom_site_type_symbol
_atom_site_fract_x
_atom_site_fract_y
_atom_site_fract_z
Cd1 Cd 0.0000 0.0000 0.0000
Cd2 Cd 0.5000 0.5000 0.0000
Cu1 Cu 0.0000 0.5000 0.5000
W1 W 0.5000 0.0000 0.5000
```

Entry 8:
The following is a DFT calculation (PBEsol) of a relaxed CdCuW2 crystal.

Values from the calculation:
Formation enthalpy at 0 K   0.70 eV/atom
Density   14.38 g cm⁻³

Geometry as CIF:
```
data_CdCuW2
_cell_length_a 3.2135
_cell_length_b 3.2135
_cell_length_c 6.0778
_cell_angle_alpha 90.00
_cell_angle_beta 90.00
_cell_angle_gamma 90.00
_symmetry_space_group_name_H-M 'P 4/m m m'
_symmetry_Int_Tables_number 123
_symmetry_space_group_name_Hall '-P 4 2'
loop_
_atom_site_label
_atom_site_type_symbol
_atom_site_fract_x
_atom_site_fract_y
_atom_site_fract_z
Cd1 Cd 0.0000 0.0000 0.0000
Cu1 Cu 0.0000 0.0000 0.5000
W1 W 0.5000 0.5000 0.2985
```

Entry 9:
The following is a DFT calculation (PBEsol) of a relaxed CdCuW2 crystal.

Values from the calculation:
Formation enthalpy at 0 K   0.56 eV/atom
Density   14.51 g cm⁻³

Geometry as CIF:
```
data_CdCuW2
_cell_length_a 2.7607
_cell_length_b 2.7607
_cell_length_c 28.2770
_cell_angle_alpha 90.00
_cell_angle_beta 90.00
_cell_angle_gamma 120.00
_symmetry_space_group_name_H-M 'R -3 m'
_symmetry_Int_Tables_number 166
_symmetry_space_group_name_Hall '-R 3 2"'
loop_
_atom_site_label
_atom_site_type_symbol
_atom_site_fract_x
_atom_site_fract_y
_atom_site_fract_z
Cd1 Cd 0.0000 0.0000 0.0000
Cu1 Cu 0.0000 0.0000 0.5000
W1 W 0.0000 0.0000 0.2438
```

Entry 10:
The following is a DFT calculation (PBEsol) of a relaxed CdCuW2 crystal.

Values from the calculation:
Formation enthalpy at 0 K   0.59 eV/atom
Density   14.49 g cm⁻³

Geometry as CIF:
```
data_CdCuW2
_cell_length_a 3.2847
_cell_length_b 4.5238
_cell_length_c 8.3843
_cell_angle_alpha 90.00
_cell_angle_beta 90.00
_cell_angle_gamma 90.00
_symmetry_space_group_name_H-M 'I m m 2'
_symmetry_Int_Tables_number 44
loop_
_symmetry_equiv_pos_as_xyz
'x,y,z'
'-x,-y,z'
'-x,y,z'
'x,-y,z'
'x+1/2,y+1/2,z+1/2'
'-x+1/2,-y+1/2,z+1/2'
'-x+1/2,y+1/2,z+1/2'
'x+1/2,-y+1/2,z+1/2'
loop_
_atom_site_label
_atom_site_type_symbol
_atom_site_fract_x
_atom_site_fract_y
_atom_site_fract_z
Cd1 Cd 0.0000 0.0000 0.0000
Cu1 Cu 0.0000 0.5000 0.7393
W1 W 0.0000 0.0000 0.4880
W2 W 0.0000 0.5000 0.2222
```

Entry 11:
The following is a DFT calculation (PBEsol) of a relaxed YCd2Cu crystal.

Values from the calculation:
Formation enthalpy at 0 K   -0.24 eV/atom
Density   8.01 g cm⁻³

Geometry as CIF:
```
data_YCd2Cu
_cell_length_a 6.7889
_cell_length_b 6.7889
_cell_length_c 6.7889
_cell_angle_alpha 90.00
_cell_angle_beta 90.00
_cell_angle_gamma 90.00
_symmetry_space_group_name_H-M 'F -4 3 m'
_symmetry_Int_Tables_number 216
_symmetry_space_group_name_Hall 'F -4 2 3'
loop_
_atom_site_label
_atom_site_type_symbol
_atom_site_fract_x
_atom_site_fract_y
_atom_site_fract_z
Y1 Y 0.0000 0.0000 0.0000
Cd1 Cd 0.0000 0.0000 0.5000
Cd2 Cd 0.2500 0.2500 0.7500
Cu1 Cu 0.2500 0.2500 0.2500
```

Entry 12:
The following is a DFT calculation (PBEsol) of a relaxed YCd3Cu crystal.

Values from the calculation:
Formation enthalpy at 0 K   0.03 eV/atom
Density   7.20 g cm⁻³

Geometry as CIF:
```
data_YCd3Cu
_cell_length_a 4.8332
_cell_length_b 4.8332
_cell_length_c 4.8332
_cell_angle_alpha 90.00
_cell_angle_beta 90.00
_cell_angle_gamma 90.00
_symmetry_space_group_name_H-M 'P m -3 m'
_symmetry_Int_Tables_number 221
_symmetry_space_group_name_Hall '-P 4 2 3'
loop_
_atom_site_label
_atom_site_type_symbol
_atom_site_fract_x
_atom_site_fract_y
_atom_site_fract_z
Y1 Y 0.0000 0.0000 0.0000
Cd1 Cd 0.0000 0.5000 0.5000
Cu1 Cu 0.5000 0.5000 0.5000
```

Entry 13:
The following is a DFT calculation (PBEsol) of a relaxed Y2CdCu crystal.

Values from the calculation:
Formation enthalpy at 0 K   -0.24 eV/atom
Density   6.47 g cm⁻³

Geometry as CIF:
```
data_Y2CdCu
_cell_length_a 5.0248
_cell_length_b 5.0248
_cell_length_c 3.5953
_cell_angle_alpha 90.00
_cell_angle_beta 90.00
_cell_angle_gamma 90.00
_symmetry_space_group_name_H-M 'P 4/m m m'
_symmetry_Int_Tables_number 123
_symmetry_space_group_name_Hall '-P 4 2'
loop_
_atom_site_label
_atom_site_type_symbol
_atom_site_fract_x
_atom_site_fract_y
_atom_site_fract_z
Y1 Y 0.0000 0.5000 0.0000
Cd1 Cd 0.0000 0.0000 0.5000
Cu1 Cu 0.5000 0.5000 0.5000
```

Entry 14:
The following is a DFT calculation (PBEsol) of a relaxed YCdCu crystal.

Values from the calculation:
Formation enthalpy at 0 K   -0.23 eV/atom
Density   7.15 g cm⁻³

Geometry as CIF:
```
data_YCdCu
_cell_length_a 4.5416
_cell_length_b 4.5416
_cell_length_c 3.4417
_cell_angle_alpha 90.00
_cell_angle_beta 90.00
_cell_angle_gamma 120.00
_symmetry_space_group_name_H-M 'P -6 m 2'
_symmetry_Int_Tables_number 187
_symmetry_space_group_name_Hall 'P -6 2'
loop_
_atom_site_label
_atom_site_type_symbol
_atom_site_fract_x
_atom_site_fract_y
_atom_site_fract_z
Y1 Y 0.0000 0.0000 0.0000
Cd1 Cd 0.3333 0.6667 0.5000
Cu1 Cu 0.6667 0.3333 0.5000
```

Entry 15:
The following is a DFT calculation (PBEsol) of a relaxed YCd2Cu crystal.

Values from the calculation:
Formation enthalpy at 0 K   -0.15 eV/atom
Density   7.96 g cm⁻³

Geometry as CIF:
```
data_YCd2Cu
_cell_length_a 6.8023
_cell_length_b 6.8023
_cell_length_c 6.8023
_cell_angle_alpha 90.00
_cell_angle_beta 90.00
_cell_angle_gamma 90.00
_symmetry_space_group_name_H-M 'F m -3 m'
_symmetry_Int_Tables_number 225
_symmetry_space_group_name_Hall '-F 4 2 3'
loop_
_atom_site_label
_atom_site_type_symbol
_atom_site_fract_x
_atom_site_fract_y
_atom_site_fract_z
Y1 Y 0.0000 0.0000 0.0000
Cd1 Cd 0.2500 0.2500 0.2500
Cu1 Cu 0.0000 0.0000 0.5000
```